PBE Pm2SmHo3Er6, optimized geometry; formation energy from the elements = 20 meV per atom; crystal system = monoclinic; space group = No. 12
1.0
3.072 -5.317 0.000
3.072 5.317 0.000
-2.041 0.000 11.530
Pm Sm Ho Er
2 1 3 6
Cartesian
3.072 3.544 0.000
3.072 -3.544 0.000
3.072 0.000 0.000
-1.021 0.000 5.765
2.052 1.772 5.765
2.052 -1.772 5.765
0.002 1.772 8.612
1.030 0.000 2.918
0.002 -1.772 8.612
4.101 1.772 2.918
3.073 0.000 8.612
4.101 -1.772 2.918

***

PBE K2RbNa, optimized geometry; offset from the most stable computed form = 0.31 eV per formula unit; formation energy from the elements = 96 meV per atom; crystal system = trigonal; space group = No. 166
1.0
2.255 1.302 15.802
-2.255 1.302 15.802
0.000 -2.604 15.802
K Rb Na
2 1 1
Cartesian
0.000 0.000 3.817
0.000 0.000 43.588
0.000 0.000 23.703
0.000 0.000 0.000

***

PBE AcLaTlHg, optimized geometry; offset from the most stable computed form = 0.00 eV per formula unit; formation energy from the elements = -431 meV per atom; crystal system = tetragonal; space group = No. 99
1.0
4.000 0.000 0.000
0.000 4.000 0.000
0.000 0.000 8.114
Ac La Tl Hg
1 1 1 1
Cartesian
0.000 0.000 0.000
0.000 0.000 4.173
2.000 2.000 2.197
2.000 2.000 6.027

***

PBE Tb2Ho5Te4, optimized geometry; E_form (uncorrected) = -632 meV per atom; crystal system = monoclinic; space group = No. 12
1.0
12.674 -2.013 0.000
12.674 2.013 0.000
-0.218 0.000 7.266
Tb Ho Te
2 5 4
Cartesian
5.866 0.000 2.217
19.263 0.000 5.049
-0.109 0.000 3.633
8.637 0.000 0.036
9.069 0.000 3.582
16.060 0.000 3.685
16.492 0.000 7.230
2.386 0.000 1.649
11.380 0.000 1.692
13.749 0.000 5.575
22.743 0.000 5.618

***

PBE Rb2TlHg4Au3, optimized geometry; formation energy from the elements = -172 meV per atom; crystal system = tetragonal; space group = No. 115
1.0
4.916 0.000 0.000
0.000 4.916 0.000
0.000 0.000 12.375
Rb Tl Hg Au
2 1 4 3
Cartesian
0.000 2.458 2.944
2.458 0.000 9.431
0.000 0.000 6.188
0.000 0.000 0.000
0.000 2.458 7.969
2.458 0.000 4.406
2.458 2.458 0.000
0.000 2.458 10.782
2.458 0.000 1.594
2.458 2.458 6.188

***

PBE Eu2GeP, optimized geometry; offset from the most stable computed form = 0.00 eV per formula unit; formation energy from the elements = -732 meV per atom; crystal system = tetragonal; space group = No. 123
1.0
3.787 0.000 0.000
0.000 3.787 0.000
0.000 0.000 6.742
Eu Ge P
2 1 1
Cartesian
0.000 0.000 1.556
0.000 0.000 5.185
1.894 1.894 3.371
1.894 1.894 0.000

***

PBE LiTaP2, optimized geometry; offset from the most stable computed form = 1.02 eV per formula unit; formation energy from the elements = -313 meV per atom; crystal system = tetragonal; space group = No. 119
1.0
-1.794 1.794 4.406
1.794 -1.794 4.406
1.794 1.794 -4.406
Li Ta P
1 1 2
Cartesian
0.000 0.000 0.000
0.000 1.794 2.203
1.794 0.000 2.203
0.000 0.000 4.406

***

PBE TcAsW, optimized geometry; offset from the most stable computed form = 0.00 eV per formula unit; formation energy from the elements = 82 meV per atom; crystal system = hexagonal; space group = No. 187
1.0
4.262 0.000 0.000
-2.131 3.691 0.000
0.000 0.000 2.907
Tc As W
1 1 1
Cartesian
0.000 0.000 0.000
0.000 2.461 0.000
2.131 1.230 1.453

***

PBE CaSb2Br, optimized geometry; offset from the most stable computed form = 0.31 eV per formula unit; E_form (uncorrected) = -759 meV per atom; crystal system = orthorhombic; space group = No. 71
1.0
-1.941 2.223 6.904
1.941 -2.223 6.904
1.941 2.223 -6.904
Ca Sb Br
1 2 1
Cartesian
0.000 0.000 0.000
1.941 0.000 3.001
0.000 2.223 3.903
0.000 0.000 6.904

***

PBE AlPt2, optimized geometry; formation energy from the elements = -871 meV per atom; crystal system = orthorhombic; space group = No. 51
1.0
16.498 0.000 0.000
0.000 3.953 0.000
0.000 0.000 5.500
Al Pt
8 16
Cartesian
0.000 0.000 0.000
1.506 1.977 1.700
4.124 1.977 4.373
6.743 1.977 1.700
8.249 0.000 0.000
9.755 1.977 3.800
12.373 1.977 1.128
14.992 1.977 3.800
0.000 0.000 2.750
1.146 1.977 4.379
2.575 0.000 0.290
2.769 0.000 3.061
4.124 1.977 1.493
5.480 0.000 3.061
5.674 0.000 0.290
7.103 1.977 4.379
8.249 0.000 2.750
9.395 1.977 1.122
10.824 0.000 5.210
11.018 0.000 2.439
12.373 1.977 4.008
13.729 0.000 2.439
13.923 0.000 5.210
15.352 1.977 1.122

***

PBE ScHgPbF6, optimized geometry; E_form (uncorrected) = -2681 meV per atom; crystal system = trigonal; space group = No. 163
1.0
6.142 0.000 0.000
-3.071 5.319 0.000
0.000 0.000 9.989
Sc Hg Pb F
2 2 2 12
Cartesian
0.000 3.546 2.497
3.071 1.773 7.492
0.000 3.546 7.492
3.071 1.773 2.497
0.000 0.000 0.000
0.000 0.000 4.994
-0.693 2.012 1.325
-1.675 3.713 3.669
0.693 2.012 3.669
-0.982 4.913 1.325
2.089 0.406 6.320
1.396 1.606 8.663
1.675 3.713 1.325
0.982 4.913 3.669
4.053 0.406 8.663
2.378 3.307 6.320
4.746 1.606 6.320
3.764 3.307 8.663